A relaxed structure of AcPr2Nd2Dy. Source: the Alexandria database, functional GGA-PBE.

Cell: 5.868 7.322 10.132 Å, 90.00 90.00 90.00°
Positions (direct):
Ac 0.000 0.008 0.500
Ac 0.000 0.508 0.500
Pr 0.500 0.008 0.000
Pr 0.000 0.258 0.166
Pr 0.500 0.508 0.000
Pr 0.000 0.758 0.834
Nd 0.000 0.257 0.836
Nd 0.500 0.258 0.328
Nd 0.000 0.757 0.164
Nd 0.500 0.758 0.672
Dy 0.500 0.258 0.667
Dy 0.500 0.758 0.333

Properties
- DFT formation energy (eV/atom) = 0.055
- total moment (μB/f.u.) = 0.0
- space group = No. 51
- VASP energy (eV per cell) = -54.956